The following is a DFT calculation (GGA-PBE) of an optimized crystal structure of Ca6AgN2.

Values from the calculation:
Fermi-level density of states = 4.1 states/eV per cell
electronic total energy = -3.97 eV per atom
size of the total moment = 0.0 Bohr magnetons per cell
symmetry = C2/m (12)
energy relative to the elements, uncorrected = -45.0 kJ per mole of atoms

Cell lengths 4.279, 7.226, 9.338 Å; angles 100.19, 90.00, 107.22 degrees
Sites, in units of the cell vectors:
Ca (0.900, 0.800, 0.777)
Ca (0.809, 0.617, 0.105)
Ca (0.191, 0.383, 0.895)
Ca (0.655, 0.310, 0.610)
Ca (0.345, 0.690, 0.390)
Ca (0.100, 0.200, 0.223)
Ag (0.000, 0.000, 0.500)
N (0.752, 0.504, 0.841)
N (0.248, 0.496, 0.159)

---

The following is a DFT calculation (GGA-PBE) of an optimized crystal structure of Ho3SnGe.

Values from the calculation:
Fermi-level density of states = 7.5 states/eV per cell
electronic total energy = -5.03 eV per atom
formation enthalpy at 0 K = -563 meV/atom
size of the total moment = 0.0 Bohr magnetons per cell
symmetry = P2_1/m (11)

Cell lengths 4.311, 7.281, 9.044 Å; angles 91.03, 90.00, 90.00 degrees
Sites, in units of the cell vectors:
Ho (0.750, 0.481, 0.320)
Ho (0.250, 0.519, 0.680)
Ho (0.750, 0.299, 0.936)
Ho (0.250, 0.975, 0.711)
Ho (0.250, 0.701, 0.064)
Ho (0.750, 0.025, 0.289)
Sn (0.250, 0.765, 0.406)
Sn (0.750, 0.235, 0.594)
Ge (0.250, 0.273, 0.147)
Ge (0.750, 0.727, 0.853)

---

The following is a DFT calculation (GGA-PBE) of an optimized crystal structure of TbPu2Ga6.

Values from the calculation:
excess energy over the best structure of this formula in the dataset = 165.1 meV per atom
Fermi-level density of states = 17.7 states/eV per cell
electronic total energy = -6.01 eV per atom
formation enthalpy at 0 K = -288 meV/atom
size of the total moment = 11.0 Bohr magnetons per cell
symmetry = Immm (71)

Cell lengths 4.405, 7.696, 7.696 Å; angles 54.69, 73.37, 73.37 degrees
Sites, in units of the cell vectors:
Tb (0.500, 0.500, 0.500)
Pu (0.383, 0.117, 0.117)
Pu (0.617, 0.883, 0.883)
Ga (0.188, 0.505, 0.118)
Ga (0.812, 0.495, 0.882)
Ga (0.812, 0.882, 0.495)
Ga (0.000, 0.199, 0.801)
Ga (0.000, 0.801, 0.199)
Ga (0.188, 0.118, 0.505)

---

The following is a DFT calculation (GGA-PBE) of an optimized crystal structure of MnSb2Cl8.

Values from the calculation:
excess energy over the best structure of this formula in the dataset = 0.0 meV per atom
Fermi-level density of states = 0.0 states/eV per cell
electronic total energy = -3.79 eV per atom
size of the total moment = 5.0 Bohr magnetons per cell
symmetry = C2/m (12)
energy relative to the elements, uncorrected = -83.8 kJ per mole of atoms

Cell lengths 8.202, 7.946, 7.946 Å; angles 52.41, 97.89, 97.89 degrees
Sites, in units of the cell vectors:
Mn (0.000, 0.000, 0.000)
Sb (0.631, 0.856, 0.856)
Sb (0.369, 0.144, 0.144)
Cl (0.153, 0.375, 0.892)
Cl (0.847, 0.108, 0.625)
Cl (0.254, 0.941, 0.941)
Cl (0.746, 0.059, 0.059)
Cl (0.153, 0.892, 0.375)
Cl (0.847, 0.625, 0.108)
Cl (0.583, 0.683, 0.683)
Cl (0.417, 0.317, 0.317)

---

The following is a DFT calculation (GGA-PBE) of an optimized crystal structure of CsAg2F3.

Values from the calculation:
excess energy over the best structure of this formula in the dataset = 4.1 meV per atom
electronic total energy = -3.48 eV per atom
size of the total moment = 0.0 Bohr magnetons per cell
symmetry = P6/mmm (191)
energy relative to the elements, uncorrected = -140.4 kJ per mole of atoms

Cell lengths 3.557, 6.102, 6.102 Å; angles 120.00, 90.00, 90.00 degrees
Sites, in units of the cell vectors:
Cs (0.000, 0.000, 0.000)
Ag (0.500, 0.333, 0.667)
Ag (0.500, 0.667, 0.333)
F (0.000, 0.500, 0.000)
F (0.000, 0.500, 0.500)
F (0.000, 0.000, 0.500)

---

The following is a DFT calculation (GGA-PBE) of an optimized crystal structure of PrTmZnRu.

Values from the calculation:
Fermi-level density of states = 3.2 states/eV per cell
electronic total energy = -5.22 eV per atom
formation enthalpy at 0 K = -271 meV/atom
size of the total moment = 0.0 Bohr magnetons per cell
symmetry = F-43m (216)

Cell lengths 4.990, 4.990, 4.990 Å; angles 60.00, 60.00, 60.00 degrees
Sites, in units of the cell vectors:
Pr (0.000, 0.000, 0.000)
Ru (0.750, 0.750, 0.750)
Zn (0.250, 0.250, 0.250)
Tm (0.500, 0.500, 0.500)

---

The following is a DFT calculation (GGA-PBE) of an optimized crystal structure of Be2CdTc.

Values from the calculation:
Fermi-level density of states = 1.7 states/eV per cell
electronic total energy = -4.39 eV per atom
formation enthalpy at 0 K = 291 meV/atom
size of the total moment = 0.0 Bohr magnetons per cell
symmetry = Cmmm (65)

Cell lengths 2.690, 2.690, 7.893 Å; angles 90.00, 90.00, 107.46 degrees
Sites, in units of the cell vectors:
Be (0.000, 0.000, 0.966)
Be (0.000, 0.000, 0.534)
Tc (0.500, 0.500, 0.750)
Cd (0.500, 0.500, 0.250)

---

The following is a DFT calculation (GGA-PBE) of an optimized crystal structure of YHo3Er6Tm2.

Values from the calculation:
Fermi-level density of states = 17.0 states/eV per cell
electronic total energy = -4.69 eV per atom
formation enthalpy at 0 K = 24 meV/atom
size of the total moment = 0.0 Bohr magnetons per cell
symmetry = C2/m (12)

Cell lengths 6.082, 6.082, 11.647 Å; angles 94.98, 94.98, 119.93 degrees
Sites, in units of the cell vectors:
Y (0.000, 0.000, 0.000)
Ho (0.167, 0.833, 0.500)
Ho (0.833, 0.167, 0.500)
Ho (0.500, 0.500, 0.500)
Er (0.917, 0.582, 0.750)
Er (0.749, 0.749, 0.250)
Er (0.083, 0.418, 0.250)
Er (0.582, 0.917, 0.750)
Er (0.251, 0.251, 0.750)
Er (0.418, 0.083, 0.250)
Tm (0.333, 0.667, 0.000)
Tm (0.667, 0.333, 0.000)

---

The following is a DFT calculation (GGA-PBE) of an optimized crystal structure of LaMgCl2.

Values from the calculation:
excess energy over the best structure of this formula in the dataset = 258.5 meV per atom
Fermi-level density of states = 2.9 states/eV per cell
electronic total energy = -3.63 eV per atom
size of the total moment = 1.0 Bohr magnetons per cell
symmetry = Fm-3m (225)
energy relative to the elements, uncorrected = -104.0 kJ per mole of atoms

Cell lengths 5.188, 5.188, 5.188 Å; angles 60.00, 60.00, 60.00 degrees
Sites, in units of the cell vectors:
Mg (0.000, 0.000, 0.000)
Cl (0.250, 0.250, 0.250)
Cl (0.750, 0.750, 0.750)
La (0.500, 0.500, 0.500)

---

The following is a DFT calculation (GGA-PBE) of an optimized crystal structure of DyPaTcNi.

Values from the calculation:
Fermi-level density of states = 4.2 states/eV per cell
electronic total energy = -7.74 eV per atom
formation enthalpy at 0 K = -177 meV/atom
size of the total moment = 0.0 Bohr magnetons per cell
symmetry = F-43m (216)

Cell lengths 4.813, 4.813, 4.813 Å; angles 60.00, 60.00, 60.00 degrees
Sites, in units of the cell vectors:
Ni (0.500, 0.500, 0.500)
Pa (0.250, 0.250, 0.250)
Tc (0.000, 0.000, 0.000)
Dy (0.750, 0.750, 0.750)

---

The following is a DFT calculation (GGA-PBE) of an optimized crystal structure of B2RuF.

Values from the calculation:
excess energy over the best structure of this formula in the dataset = 685.9 meV per atom
Fermi-level density of states = 3.6 states/eV per cell
electronic total energy = -5.03 eV per atom
size of the total moment = 0.3 Bohr magnetons per cell
symmetry = Fm-3m (225)
energy relative to the elements, uncorrected = 105.3 kJ per mole of atoms

Cell lengths 3.808, 3.808, 3.808 Å; angles 60.00, 60.00, 60.00 degrees
Sites, in units of the cell vectors:
Ru (0.500, 0.500, 0.500)
B (0.250, 0.250, 0.250)
B (0.750, 0.750, 0.750)
F (0.000, 0.000, 0.000)

---

The following is a DFT calculation (GGA-PBE) of an optimized crystal structure of Ho11Ga9Pd4.

Values from the calculation:
Fermi-level density of states = 13.0 states/eV per cell
electronic total energy = -4.81 eV per atom
formation enthalpy at 0 K = -712 meV/atom
size of the total moment = 0.0 Bohr magnetons per cell
symmetry = Cmmm (65)

Cell lengths 3.579, 12.625, 12.625 Å; angles 113.09, 90.00, 90.00 degrees
Sites, in units of the cell vectors:
Ho (0.000, 0.590, 0.937)
Ho (0.000, 0.410, 0.063)
Ho (0.000, 0.937, 0.590)
Ho (0.000, 0.063, 0.410)
Ho (0.000, 0.631, 0.369)
Ho (0.000, 0.369, 0.631)
Ho (0.000, 0.836, 0.164)
Ho (0.000, 0.164, 0.836)
Ho (0.000, 0.000, 0.000)
Ho (0.000, 0.703, 0.703)
Ho (0.000, 0.297, 0.297)
Ga (0.500, 0.632, 0.161)
Ga (0.500, 0.368, 0.839)
Ga (0.500, 0.161, 0.632)
Ga (0.500, 0.839, 0.368)
Ga (0.500, 0.786, 0.931)
Ga (0.500, 0.214, 0.069)
Ga (0.500, 0.931, 0.786)
Ga (0.500, 0.069, 0.214)
Ga (0.500, 0.500, 0.500)
Pd (0.500, 0.554, 0.756)
Pd (0.500, 0.446, 0.244)
Pd (0.500, 0.756, 0.554)
Pd (0.500, 0.244, 0.446)

---

The following is a DFT calculation (GGA-PBE) of an optimized crystal structure of Pr2PuNbN5.

Values from the calculation:
Fermi-level density of states = 9.4 states/eV per cell
electronic total energy = -9.58 eV per atom
size of the total moment = 7.9 Bohr magnetons per cell
symmetry = Cmc2_1 (36)
energy relative to the elements, uncorrected = -113.7 kJ per mole of atoms

Cell lengths 3.544, 7.294, 10.710 Å; angles 90.00, 90.00, 104.06 degrees
Sites, in units of the cell vectors:
Pr (0.858, 0.716, 0.790)
Pr (0.108, 0.216, 0.692)
Pr (0.142, 0.284, 0.290)
Pr (0.892, 0.784, 0.192)
Pu (0.787, 0.574, 0.508)
Pu (0.213, 0.426, 0.008)
Nb (0.516, 0.031, 0.964)
Nb (0.484, 0.969, 0.464)
N (0.378, 0.756, 0.009)
N (0.686, 0.372, 0.883)
N (0.492, 0.984, 0.786)
N (0.280, 0.561, 0.646)
N (0.950, 0.899, 0.545)
N (0.622, 0.244, 0.509)
N (0.314, 0.628, 0.383)
N (0.508, 0.016, 0.286)
N (0.720, 0.439, 0.146)
N (0.050, 0.101, 0.045)

---

The following is a DFT calculation (GGA-PBE) of an optimized crystal structure of Na2SrVRe.

Values from the calculation:
Fermi-level density of states = 5.1 states/eV per cell
electronic total energy = -4.16 eV per atom
formation enthalpy at 0 K = 1016 meV/atom
size of the total moment = 0.2 Bohr magnetons per cell
symmetry = P4/mmm (123)

Cell lengths 5.567, 4.454, 5.567 Å; angles 90.00, 90.00, 90.00 degrees
Sites, in units of the cell vectors:
Re (0.000, 0.500, 0.000)
V (0.000, 0.000, 0.000)
Na (0.000, 0.000, 0.500)
Na (0.500, 0.000, 0.000)
Sr (0.500, 0.500, 0.500)

---

The following is a DFT calculation (GGA-PBE) of an optimized crystal structure of Pa2VGa.

Values from the calculation:
excess energy over the best structure of this formula in the dataset = 172.9 meV per atom
Fermi-level density of states = 7.5 states/eV per cell
electronic total energy = -7.68 eV per atom
formation enthalpy at 0 K = 107 meV/atom
size of the total moment = 1.4 Bohr magnetons per cell
symmetry = P4/mmm (123)

Cell lengths 3.697, 3.697, 6.250 Å; angles 90.00, 90.00, 90.00 degrees
Sites, in units of the cell vectors:
Pa (0.000, 0.000, 0.738)
Pa (0.000, 0.000, 0.262)
Ga (0.500, 0.500, 0.500)
V (0.500, 0.500, 0.000)

---

The following is a DFT calculation (GGA-PBE) of an optimized crystal structure of MgAl2Pb.

Values from the calculation:
Fermi-level density of states = 1.6 states/eV per cell
electronic total energy = -3.01 eV per atom
formation enthalpy at 0 K = 185 meV/atom
size of the total moment = 0.0 Bohr magnetons per cell
symmetry = R-3m (166)

Cell lengths 10.536, 10.536, 10.536 Å; angles 17.40, 17.40, 17.40 degrees
Sites, in units of the cell vectors:
Al (0.992, 0.992, 0.992)
Al (0.508, 0.508, 0.508)
Mg (0.250, 0.250, 0.250)
Pb (0.750, 0.750, 0.750)

---

The following is a DFT calculation (GGA-PBE) of an optimized crystal structure of BaNiN.

Values from the calculation:
Fermi-level density of states = 8.4 states/eV per cell
electronic total energy = -5.44 eV per atom
size of the total moment = 0.0 Bohr magnetons per cell
symmetry = Cm (8)
energy relative to the elements, uncorrected = -9.2 kJ per mole of atoms

Cell lengths 6.282, 5.482, 8.498 Å; angles 90.00, 92.26, 90.00 degrees
Sites, in units of the cell vectors:
Ba (0.009, 0.000, 0.112)
Ba (0.009, 0.500, 0.612)
Ba (0.522, 0.000, 0.474)
Ba (0.522, 0.500, 0.974)
Ni (0.834, 0.000, 0.771)
Ni (0.834, 0.500, 0.271)
Ni (0.194, 0.000, 0.773)
Ni (0.194, 0.500, 0.273)
N (0.631, 0.000, 0.925)
N (0.631, 0.500, 0.425)
N (0.451, 0.000, 0.853)
N (0.451, 0.500, 0.353)

---

The following is a DFT calculation (GGA-PBE) of an optimized crystal structure of LiInAsSe2.

Values from the calculation:
excess energy over the best structure of this formula in the dataset = 0.0 meV per atom
Fermi-level density of states = 4.8 states/eV per cell
electronic total energy = -3.06 eV per atom
size of the total moment = 0.0 Bohr magnetons per cell
symmetry = P4/mmm (123)
energy relative to the elements, uncorrected = 18.3 kJ per mole of atoms

Cell lengths 4.958, 4.958, 4.514 Å; angles 90.00, 90.00, 90.00 degrees
Sites, in units of the cell vectors:
As (0.000, 0.000, 0.500)
Li (0.000, 0.000, 0.000)
Se (0.000, 0.500, 0.000)
Se (0.500, 0.000, 0.000)
In (0.500, 0.500, 0.500)

---

The following is a DFT calculation (GGA-PBE) of an optimized crystal structure of ScAl2In.

Values from the calculation:
Fermi-level density of states = 2.5 states/eV per cell
electronic total energy = -4.34 eV per atom
formation enthalpy at 0 K = -203 meV/atom
size of the total moment = 0.0 Bohr magnetons per cell
symmetry = Pmmm (47)

Cell lengths 4.590, 3.073, 5.801 Å; angles 90.00, 90.00, 90.00 degrees
Sites, in units of the cell vectors:
Sc (0.500, 0.750, 0.750)
Al (0.000, 0.250, 0.974)
Al (0.000, 0.250, 0.526)
In (0.500, 0.250, 0.250)

---

The following is a DFT calculation (GGA-PBE) of an optimized crystal structure of ZrAlSb3.

Values from the calculation:
excess energy over the best structure of this formula in the dataset = 0.0 meV per atom
Fermi-level density of states = 6.0 states/eV per cell
electronic total energy = -4.54 eV per atom
size of the total moment = 0.0 Bohr magnetons per cell
symmetry = Pm-3m (221)
energy relative to the elements, uncorrected = 37.5 kJ per mole of atoms

Cell lengths 5.551, 5.551, 5.551 Å; angles 90.00, 90.00, 90.00 degrees
Sites, in units of the cell vectors:
Sb (0.000, 0.500, 0.000)
Sb (0.000, 0.000, 0.500)
Sb (0.500, 0.000, 0.000)
Al (0.500, 0.500, 0.500)
Zr (0.000, 0.000, 0.000)